The following is a DFT calculation (PBE with a Hubbard U) of crystalline Mn2As2O7 at its relaxed geometry.

Output
* theoretical density: 4.2 g cm⁻³
* ΔE to the lowest computed polymorph: 0.00 eV/f.u.

Structure (POSCAR):
```
Mn2As2O7
1.0
4.894 -0.001 -0.002
-0.769 5.582 0.001
-0.770 -1.588 5.351
As Mn O
2 2 7
Direct
0.908 0.227 0.232
0.100 0.770 0.775
0.504 0.314 0.688
0.504 0.697 0.306
0.720 0.381 0.064
0.782 0.613 0.602
0.225 0.402 0.391
0.288 0.938 0.621
0.712 0.084 0.403
0.007 0.959 0.045
0.296 0.599 0.919
```